Compound: ScFe3
Source: Alexandria via LeMat-Bulk
Functional: PBE-GGA
Structure: optimized geometry Values from VASP.

Values from the calculation:
As for the total magnetization: 1.61 μB/atom. As for the formation energy: 1.4 eV per formula unit. The density of states at the Fermi level is 4.456 states/eV per cell.

The structure in Quantum ESPRESSO input format:
```
&SYSTEM
  ibrav = 0, nat = 4, ntyp = 2
/
ATOMIC_SPECIES
Sc 44.96 Sc.upf
Fe 55.84 Fe.upf
ATOMIC_POSITIONS angstrom
Sc 0.000 1.686 5.834
Fe 0.000 0.000 0.193
Fe 0.000 0.000 3.696
Fe 0.000 1.686 1.945
CELL_PARAMETERS angstrom
2.921 0.000 0.000
-1.460 2.529 0.000
0.000 0.000 7.778
```

***

Compound: Mg3In2Ga2Ag4
Source: Alexandria via LeMat-Bulk
Functional: PBE-GGA
Structure: optimized geometry Values from VASP.

Values from the calculation:
As for the total magnetization: 0.00 μB/atom. As for the formation energy: -1.1 eV per formula unit. The density of states at the Fermi level is 4.094 states/eV per cell.

The structure in Quantum ESPRESSO input format:
```
&SYSTEM
  ibrav = 0, nat = 11, ntyp = 4
/
ATOMIC_SPECIES
Ag 107.87 Ag.upf
Mg 24.30 Mg.upf
In 114.82 In.upf
Ga 69.72 Ga.upf
ATOMIC_POSITIONS angstrom
Ag -2.660 0.583 -1.127
Mg -6.703 -6.733 1.084
In -5.376 -5.351 -1.784
Mg -2.231 -2.241 0.361
Ag -3.299 -3.265 -2.119
Mg 0.000 0.000 0.000
Ga -1.421 -1.378 -2.423
Ag -7.601 -4.380 -0.328
Ag -8.240 -8.227 -1.321
Ga -9.479 -6.267 -0.025
In -5.524 -2.293 -0.664
CELL_PARAMETERS angstrom
-3.225 3.221 0.060
1.260 -1.890 -3.952
-8.934 -8.975 1.444
```

***

Compound: DyHo2Au
Source: Alexandria via LeMat-Bulk
Functional: PBE-GGA
Structure: optimized geometry Values from VASP.

Values from the calculation:
As for the total magnetization: 0.14 μB/atom. As for the formation energy: -1.2 eV per formula unit. The value obtained for the energy relative to the lowest polymorph listed for this composition is 0.161 eV per atom. The density of states at the Fermi level is 4.719 states/eV per cell.

The structure in Quantum ESPRESSO input format:
```
&SYSTEM
  ibrav = 0, nat = 4, ntyp = 3
/
ATOMIC_SPECIES
Ho 164.93 Ho.upf
Dy 162.50 Dy.upf
Au 196.97 Au.upf
ATOMIC_POSITIONS angstrom
Ho -2.857 0.399 -0.655
Ho -7.709 -0.899 2.024
Dy -6.387 0.618 -0.939
Au -2.259 1.723 -3.218
CELL_PARAMETERS angstrom
-1.650 2.943 -1.561
-1.716 -0.353 -3.279
-9.442 -1.363 2.981
```

***

Compound: PBr
Source: Alexandria via LeMat-Bulk
Functional: PBE-GGA
Structure: optimized geometry Values from VASP.

Values from the calculation:
As for the total magnetization: 0.00 μB/atom. The value obtained for the energy relative to the lowest polymorph listed for this composition is 0.183 eV per atom. For the uncorrected formation energy, the calculation gives 0.053 eV per atom. The density of states at the Fermi level is 2.997 states/eV per cell.

The structure in Quantum ESPRESSO input format:
```
&SYSTEM
  ibrav = 0, nat = 12, ntyp = 2
/
ATOMIC_SPECIES
Br 79.90 Br.upf
P 30.97 P.upf
ATOMIC_POSITIONS angstrom
Br -0.367 -0.965 -1.351
P 13.796 -4.368 -2.607
P 6.750 -4.356 -1.784
Br 10.929 -5.872 -0.131
Br 13.193 -2.307 -3.993
P 3.423 -7.441 2.164
Br 4.877 -3.190 -1.889
Br 6.291 -5.937 -0.312
P 11.752 -0.396 -4.887
Br 7.949 -0.082 -3.455
P 1.074 -2.876 -0.457
P 6.076 1.084 -3.560
CELL_PARAMETERS angstrom
-1.102 -1.995 -2.487
11.180 1.994 -6.550
4.393 -8.537 4.900
```

***

Compound: MgAsPb2
Source: Alexandria via LeMat-Bulk
Functional: PBE-GGA
Structure: optimized geometry Values from VASP.

Values from the calculation:
As for the total magnetization: 0.00 μB/atom. As for the formation energy: 0.3 eV per formula unit. The value obtained for the energy relative to the lowest polymorph listed for this composition is 0.175 eV per atom. The density of states at the Fermi level is 2.706 states/eV per cell.

The structure in Quantum ESPRESSO input format:
```
&SYSTEM
  ibrav = 0, nat = 4, ntyp = 3
/
ATOMIC_SPECIES
Pb 207.20 Pb.upf
Mg 24.30 Mg.upf
As 74.92 As.upf
ATOMIC_POSITIONS angstrom
Pb 21.865 5.462 3.284
Mg 16.533 4.130 2.484
Pb 11.201 2.798 1.683
As 5.511 1.377 0.828
CELL_PARAMETERS angstrom
8.018 -0.135 -0.081
7.013 3.890 -0.081
7.013 1.752 3.474
```

***

Compound: Tb2Pr3Pd2
Source: Alexandria via LeMat-Bulk
Functional: PBE-GGA
Structure: optimized geometry Values from VASP.

Values from the calculation:
As for the total magnetization: 0.00 μB/atom. As for the formation energy: -3.1 eV per formula unit. The density of states at the Fermi level is 9.829 states/eV per cell.

The structure in Quantum ESPRESSO input format:
```
&SYSTEM
  ibrav = 0, nat = 7, ntyp = 3
/
ATOMIC_SPECIES
Pr 140.91 Pr.upf
Pd 106.42 Pd.upf
Tb 158.93 Tb.upf
ATOMIC_POSITIONS angstrom
Pr -1.307 -0.020 -1.441
Pr 2.369 -5.657 0.558
Pd 4.132 -3.510 -1.074
Pr -2.239 -3.484 -0.551
Tb -1.268 -6.636 1.241
Tb 1.398 -2.505 -1.233
Pd -4.002 -5.631 1.081
CELL_PARAMETERS angstrom
-2.615 -0.041 -2.882
5.563 -2.369 -2.388
-2.818 -6.731 5.277
```

***

What did the fifth record say?
Compound: MgAsPb2
Source: Alexandria via LeMat-Bulk
Functional: PBE-GGA
Structure: optimized geometry Values from VASP.

Values from the calculation:
As for the total magnetization: 0.00 μB/atom. As for the formation energy: 0.3 eV per formula unit. The value obtained for the energy relative to the lowest polymorph listed for this composition is 0.175 eV per atom. The density of states at the Fermi level is 2.706 states/eV per cell.

The structure in Quantum ESPRESSO input format:
```
&SYSTEM
  ibrav = 0, nat = 4, ntyp = 3
/
ATOMIC_SPECIES
Pb 207.20 Pb.upf
Mg 24.30 Mg.upf
As 74.92 As.upf
ATOMIC_POSITIONS angstrom
Pb 21.865 5.462 3.284
Mg 16.533 4.130 2.484
Pb 11.201 2.798 1.683
As 5.511 1.377 0.828
CELL_PARAMETERS angstrom
8.018 -0.135 -0.081
7.013 3.890 -0.081
7.013 1.752 3.474
```